[1]
TaCd2InO6 GGA-PBE optimized geometry; symmetry = P2_1/c; ρ = 8041 kg/m3; ΔE_f (raw) = -18.10 eV/f.u.; V = 127.3 Å³/f.u.; density of states at the Fermi level = 0.000 states/eV/f.u.; calculated total energy = -128.5 eV/cell
1.0
5.551 0.000 0.000
0.000 5.691 0.000
-5.517 0.000 8.062
Ta Cd In O
2 4 2 12
direct
0.000 0.000 0.000
0.000 0.500 0.500
0.241 0.045 0.750
0.241 0.455 0.250
0.759 0.545 0.750
0.759 0.955 0.250
0.500 0.000 0.500
0.500 0.500 0.000
0.115 0.206 0.436
0.115 0.294 0.936
0.242 0.685 0.446
0.242 0.815 0.946
0.348 0.050 0.238
0.348 0.450 0.738
0.652 0.550 0.262
0.652 0.950 0.762
0.758 0.185 0.054
0.758 0.315 0.554
0.885 0.706 0.064
0.885 0.794 0.564


[2]
TbCdIn4O8 GGA-PBE optimized geometry; symmetry = R3m; ρ = 6776 kg/m3; ΔE_f (raw) = -24.71 eV/f.u.; V = 210.4 Å³/f.u.; density of states at the Fermi level = 1.434 states/eV/f.u.; calculated total energy = -80.9 eV/cell
1.0
3.318 1.916 5.516
-3.318 1.916 5.516
0.000 -3.832 5.516
Tb Cd In O
1 1 4 8
direct
0.000 0.000 0.000
0.374 0.374 0.374
0.000 0.000 0.497
0.000 0.497 0.000
0.497 0.000 0.000
0.624 0.624 0.624
0.221 0.754 0.754
0.235 0.235 0.235
0.240 0.240 0.787
0.240 0.787 0.240
0.754 0.221 0.754
0.754 0.754 0.221
0.761 0.761 0.761
0.787 0.240 0.240